Here is a geometry-optimized Ca2HgN structure from Alexandria. Energies are from PBE.

Cell and atoms, written as CIF:
```
data_Ca2HgN
_cell_length_a 7.1641
_cell_length_b 7.1641
_cell_length_c 7.9942
_cell_angle_alpha 90.00
_cell_angle_beta 90.00
_cell_angle_gamma 90.00
_space_group_name_H-M_alt 'I -4 2 d'
_space_group_IT_number 122
_space_group_name_Hall 'I -4 2bw'
loop_
_atom_site_label
_atom_site_fract_x
_atom_site_fract_y
_atom_site_fract_z
Ca1 0.1385 0.2500 0.1250
Hg1 0.0000 0.0000 0.5000
N1 0.0000 0.0000 0.0000
```

Results
The relative energy among the computed polymorphs is 209 meV/atom. The value obtained for the energy is -58.4 eV for the cell shown. As for the raw formation energy: -490 meV per atom.

=====

Here is a geometry-optimized CaHgN2 structure from Alexandria. Energies are from PBE.

Cell and atoms, written as CIF:
```
data_CaHgN2
_cell_length_a 3.7492
_cell_length_b 3.7492
_cell_length_c 19.1905
_cell_angle_alpha 90.00
_cell_angle_beta 90.00
_cell_angle_gamma 120.00
_space_group_name_H-M_alt 'R -3 m'
_space_group_IT_number 166
_space_group_name_Hall '-R 3 2"'
loop_
_atom_site_label
_atom_site_fract_x
_atom_site_fract_y
_atom_site_fract_z
Ca1 0.0000 0.0000 0.0000
Hg1 0.0000 0.0000 0.5000
N1 0.0000 0.0000 0.3960
```

Results
The value obtained for the energy is -50.6 eV for the cell shown. As for the raw formation energy: 520 meV per atom.

=====

Here is a geometry-optimized CaHg3N structure from Alexandria. Energies are from PBE.

Cell and atoms, written as CIF:
```
data_CaHg3N
_cell_length_a 4.8969
_cell_length_b 4.8969
_cell_length_c 4.8969
_cell_angle_alpha 90.00
_cell_angle_beta 90.00
_cell_angle_gamma 90.00
_space_group_name_H-M_alt 'P m -3 m'
_space_group_IT_number 221
_space_group_name_Hall '-P 4 2 3'
loop_
_atom_site_label
_atom_site_fract_x
_atom_site_fract_y
_atom_site_fract_z
Ca1 0.0000 0.0000 0.0000
Hg1 0.0000 0.5000 0.5000
N1 0.5000 0.5000 0.5000
```

Results
The relative energy among the computed polymorphs is 0 meV/atom. The value obtained for the energy is -8.5 eV for the cell shown. As for the raw formation energy: 541 meV per atom.

=====

Here is a geometry-optimized Ca4Hg2N structure from Alexandria. Energies are from PBE.

Cell and atoms, written as CIF:
```
data_Ca4Hg2N
_cell_length_a 5.1368
_cell_length_b 24.7686
_cell_length_c 3.5370
_cell_angle_alpha 90.00
_cell_angle_beta 90.00
_cell_angle_gamma 90.00
_space_group_name_H-M_alt 'C m m m'
_space_group_IT_number 65
_space_group_name_Hall '-C 2 2'
loop_
_atom_site_label
_atom_site_fract_x
_atom_site_fract_y
_atom_site_fract_z
Ca1 0.0000 0.0598 0.0000
Ca2 0.0000 0.2024 0.5000
Hg1 0.0000 0.3231 0.0000
N1 0.0000 0.0000 0.5000
```

Results
The relative energy among the computed polymorphs is 254 meV/atom. The value obtained for the energy is -38.1 eV for the cell shown. As for the raw formation energy: -305 meV per atom.

=====

Here is a geometry-optimized CaHgN3 structure from Alexandria. Energies are from PBE.

Cell and atoms, written as CIF:
```
data_CaHgN3
_cell_length_a 4.2581
_cell_length_b 4.2581
_cell_length_c 4.2581
_cell_angle_alpha 90.00
_cell_angle_beta 90.00
_cell_angle_gamma 90.00
_space_group_name_H-M_alt 'P m -3 m'
_space_group_IT_number 221
_space_group_name_Hall '-P 4 2 3'
loop_
_atom_site_label
_atom_site_fract_x
_atom_site_fract_y
_atom_site_fract_z
Ca1 0.0000 0.0000 0.0000
Hg1 0.5000 0.5000 0.5000
N1 0.0000 0.5000 0.5000
```

Results
The value obtained for the energy is -19.3 eV for the cell shown. As for the raw formation energy: 1592 meV per atom.

=====

Here is a geometry-optimized Ca2HgN structure from Alexandria. Energies are from PBE.

Cell and atoms, written as CIF:
```
data_Ca2HgN
_cell_length_a 7.0170
_cell_length_b 7.0170
_cell_length_c 7.0170
_cell_angle_alpha 90.00
_cell_angle_beta 90.00
_cell_angle_gamma 90.00
_space_group_name_H-M_alt 'F m -3 m'
_space_group_IT_number 225
_space_group_name_Hall '-F 4 2 3'
loop_
_atom_site_label
_atom_site_fract_x
_atom_site_fract_y
_atom_site_fract_z
Ca1 0.2500 0.2500 0.2500
Hg1 0.0000 0.0000 0.0000
N1 0.0000 0.0000 0.5000
```

Results
The relative energy among the computed polymorphs is 776 meV/atom. The value obtained for the energy is -49.3 eV for the cell shown. As for the raw formation energy: 77 meV per atom.

=====

Here is a geometry-optimized Ca2HgN structure from Alexandria. Energies are from PBE.

Cell and atoms, written as CIF:
```
data_Ca2HgN
_cell_length_a 3.5782
_cell_length_b 3.5782
_cell_length_c 24.8284
_cell_angle_alpha 90.00
_cell_angle_beta 90.00
_cell_angle_gamma 120.00
_space_group_name_H-M_alt 'R -3 m'
_space_group_IT_number 166
_space_group_name_Hall '-R 3 2"'
loop_
_atom_site_label
_atom_site_fract_x
_atom_site_fract_y
_atom_site_fract_z
Ca1 0.0000 0.0000 0.2174
Hg1 0.0000 0.0000 0.0000
N1 0.0000 0.0000 0.5000
```

Results
The relative energy among the computed polymorphs is 0 meV/atom. The value obtained for the energy is -46.3 eV for the cell shown. As for the raw formation energy: -700 meV per atom.

=====

Here is a geometry-optimized Ca9Hg3N2 structure from Alexandria. Energies are from PBE.

Cell and atoms, written as CIF:
```
data_Ca9Hg3N2
_cell_length_a 7.0440
_cell_length_b 7.0440
_cell_length_c 8.6853
_cell_angle_alpha 90.00
_cell_angle_beta 90.00
_cell_angle_gamma 120.00
_space_group_name_H-M_alt 'P -3 m 1'
_space_group_IT_number 164
_space_group_name_Hall '-P 3 2"'
loop_
_atom_site_label
_atom_site_fract_x
_atom_site_fract_y
_atom_site_fract_z
Ca1 0.0000 0.5000 0.0000
Ca2 0.1744 0.3488 0.6806
Hg1 0.0000 0.0000 0.0000
Hg2 0.3333 0.6667 0.3424
N1 0.3333 0.6667 0.8330
```

Results
The value obtained for the energy is -43.7 eV for the cell shown. As for the raw formation energy: -583 meV per atom.

=====

> The highest energy belongs to which entry?

CaHg3N